Here is a relaxed TbErAs crystal from the Alexandria database. Energies are from PBE.

a b c (Å): 3.9721 3.9721 6.4065
angles (deg): 90.00 90.00 120.00
Space group P3m1 (No. 156)
Inequivalent atoms, fractional coordinates:
Tb: 0.0000 0.0000 0.0000 [1 per cell]
Er: 0.3333 0.6667 0.5192 [1 per cell]
As: 0.6667 0.3333 0.2635 [1 per cell]

Computed properties:
E: -16.4 eV per cell
Calculated density: 7.61 Mg/m³
V: 29.2 Å³ per atom
Energy of formation: -851 meV/atom

Here is a relaxed TbErTeAs crystal from the Alexandria database. Energies are from PBE.

a b c (Å): 4.1319 4.1319 21.9044
angles (deg): 90.00 90.00 120.00
Space group R3m (No. 160, hexagonal axes)
Inequivalent atoms, fractional coordinates:
Tb: 0.0000 0.0000 0.0000 [3 per cell]
Er: 0.0000 0.0000 0.8103 [3 per cell]
Te: 0.0000 0.0000 0.5714 [3 per cell]
As: 0.0000 0.0000 0.4045 [3 per cell]

Computed properties:
ΔE_f (raw): -139.3 kJ per mole of atoms
E: -68.3 eV per cell
Calculated density: 8.13 Mg/m³
V: 27.0 Å³ per atom

Here is a relaxed TbEr3Th2As6 crystal from the Alexandria database. Energies are from PBE.

a b c (Å): 18.076 4.162 8.285
angles (deg): 90.00 103.04 90.00
Space group C2/m (No. 12)
Inequivalent atoms, fractional coordinates:
Tb: 0.000 0.000 0.000 [2 per cell]
Er: 0.000 0.000 0.500 [2 per cell]
Er: 0.166 0.500 0.834 [4 per cell]
Th: 0.165 0.500 0.330 [4 per cell]
As: 0.003 0.500 0.749 [4 per cell]
As: 0.165 0.000 0.589 [4 per cell]
As: 0.167 0.000 0.076 [4 per cell]

Computed properties:
E: -157.8 eV per cell
Calculated density: 8.61 Mg/m³
V: 25.3 Å³ per atom
Energy of formation: -1487 meV/atom

Here is a relaxed TbErTh2As4 crystal from the Alexandria database. Energies are from PBE.

a b c (Å): 7.209 4.197 7.268
angles (deg): 90.00 109.70 90.00
Space group P2/m (No. 10)
Inequivalent atoms, fractional coordinates:
Tb: 0.000 0.000 0.000 [1 per cell]
Er: 0.000 0.500 0.500 [1 per cell]
Th: 0.500 0.000 0.500 [1 per cell]
Th: 0.500 0.500 0.000 [1 per cell]
As: 0.241 0.000 0.745 [2 per cell]
As: 0.242 0.500 0.249 [2 per cell]

Computed properties:
E: -54.3 eV per cell
Calculated density: 8.74 Mg/m³
V: 25.9 Å³ per atom
Energy of formation: -1464 meV/atom

Here is a relaxed Tb3ErTh2As6 crystal from the Alexandria database. Energies are from PBE.

a b c (Å): 18.175 4.180 8.328
angles (deg): 90.00 103.22 90.00
Space group C2/m (No. 12)
Inequivalent atoms, fractional coordinates:
Tb: 0.000 0.000 0.000 [2 per cell]
Tb: 0.166 0.500 0.334 [4 per cell]
Er: 0.000 0.000 0.500 [2 per cell]
Th: 0.165 0.500 0.830 [4 per cell]
As: 0.002 0.500 0.254 [4 per cell]
As: 0.165 0.000 0.578 [4 per cell]
As: 0.166 0.000 0.087 [4 per cell]

Computed properties:
E: -158.3 eV per cell
Calculated density: 8.40 Mg/m³
V: 25.7 Å³ per atom
Energy of formation: -1497 meV/atom

Here is a relaxed Tb3Er2TmAs6 crystal from the Alexandria database. Energies are from PBE.

a b c (Å): 17.898 4.108 8.212
angles (deg): 90.00 103.22 90.00
Space group C2/m (No. 12)
Inequivalent atoms, fractional coordinates:
Tb: 0.000 0.000 0.000 [2 per cell]
Tb: 0.167 0.500 0.333 [4 per cell]
Er: 0.167 0.500 0.833 [4 per cell]
Tm: 0.000 0.000 0.500 [2 per cell]
As: 0.001 0.500 0.747 [4 per cell]
As: 0.166 0.000 0.585 [4 per cell]
As: 0.167 0.000 0.081 [4 per cell]

Computed properties:
E: -147.4 eV per cell
Calculated density: 8.08 Mg/m³
V: 24.5 Å³ per atom
Energy of formation: -1527 meV/atom